DFT (GGA-PBE) results for a geometry-optimized PuHF structure.

Cell lengths 5.651, 5.651, 5.651 Å; angles 90.00, 90.00, 90.00 degrees
Space group F-43m (No. 216)
Asymmetric unit:
1 Pu 0.000 0.000 0.000
2 H 0.250 0.250 0.750
3 F 0.250 0.250 0.250

Output
E above lowest polymorph = 31 meV per atom
density = 9.7 Mg/m³